Hf8InRh2 | GGA-PBE | relaxed

a = 5.180 Å, b = 7.418 Å, c = 7.418 Å
α = 116.50°, β = 100.01°, γ = 100.01°
Fractional coordinates of all 11 atoms:
1 Hf 0.934 0.906 0.670
2 Hf 0.934 0.670 0.906
3 Hf 0.308 0.592 0.592
4 Hf 0.500 0.750 0.250
5 Hf 0.500 0.250 0.750
6 Hf 0.692 0.408 0.408
7 Hf 0.066 0.330 0.094
8 Hf 0.066 0.094 0.330
9 In 0.500 0.000 0.000
10 Rh 0.000 0.291 0.709
11 Rh 0.000 0.709 0.291

Properties
As for the density of states at the Fermi level: 11.985 states/eV/cell. The calculation puts the total energy at -9.022 eV/atom.